[1]
The following is a GGA-PBE calculation of Ba3Sr4In4 after structural relaxation, from Alexandria.

Unit cell a=5.756 b=8.732 c=10.727 alpha=114.02 beta=105.56 gamma=90.00
Fractional positions:
In1 0.201 0.701 0.401
In2 0.500 0.165 0.000
In3 0.799 0.299 0.599
In4 0.500 0.835 0.000
Sr1 0.675 0.458 0.349
Sr2 0.675 0.891 0.349
Sr3 0.325 0.109 0.651
Sr4 0.325 0.542 0.651
Ba1 0.889 0.889 0.778
Ba2 0.000 0.500 0.000
Ba3 0.111 0.111 0.222

SG: Immm
energy relative to the elements: -3.2 eV per formula unit
volume: 470.7 Å³ per cell


[2]
The following is a GGA-PBE calculation of Th6BiIr4 after structural relaxation, from Alexandria.

Unit cell a=4.200 b=7.215 c=21.379 alpha=90.00 beta=90.00 gamma=106.92
Fractional positions:
Th1 0.233 0.466 0.581
Th2 0.652 0.303 0.750
Th3 0.500 0.000 0.000
Th4 0.348 0.697 0.250
Th5 0.233 0.466 0.919
Th6 0.500 0.000 0.500
Th7 0.033 0.067 0.345
Th8 0.767 0.534 0.419
Th9 0.967 0.933 0.845
Th10 0.767 0.534 0.081
Th11 0.033 0.067 0.155
Th12 0.967 0.933 0.655
Ir1 0.400 0.801 0.376
Ir2 0.136 0.272 0.043
Ir3 0.864 0.728 0.543
Ir4 0.600 0.199 0.624
Ir5 0.400 0.801 0.124
Ir6 0.600 0.199 0.876
Ir7 0.136 0.272 0.457
Ir8 0.864 0.728 0.957
Bi1 0.661 0.321 0.250
Bi2 0.339 0.679 0.750

SG: Cmcm
energy relative to the elements: -9.3 eV per formula unit
volume: 619.8 Å³ per cell


[3]
The following is a GGA-PBE calculation of B5C7 after structural relaxation, from Alexandria.

Unit cell a=6.022 b=5.949 c=3.697 alpha=91.05 beta=89.99 gamma=142.68
Fractional positions:
C1 0.489 0.006 0.251
C2 0.692 0.845 0.754
C3 0.328 0.157 0.755
C4 0.160 0.321 0.235
C5 0.633 0.310 0.008
C6 0.186 0.853 0.505
C7 0.008 0.009 0.991
B1 0.829 0.144 0.485
B2 0.396 0.695 0.039
B3 0.438 0.470 0.539
B4 0.951 0.493 0.732
B5 0.892 0.695 0.207

SG: P1
energy relative to the elements: 3.6 eV per formula unit
polymorph energy (0 for the lowest one): 0.51 eV per formula unit
volume: 80.3 Å³ per cell


[4]
The following is a GGA-PBE calculation of Cd2Cl2O after structural relaxation, from Alexandria.

Unit cell a=6.388 b=6.908 c=6.908 alpha=53.51 beta=62.46 gamma=62.46
Fractional positions:
Cd1 0.099 0.591 0.212
Cd2 0.401 0.788 0.409
Cd3 0.901 0.409 0.788
Cd4 0.599 0.212 0.591
Cl1 0.342 0.251 0.065
Cl2 0.158 0.935 0.749
Cl3 0.842 0.065 0.251
Cl4 0.658 0.749 0.935
O1 0.250 0.500 0.500
O2 0.750 0.500 0.500

ΔE_f (raw): -1007 meV/atom
SG: Ibam
polymorph energy (0 for the lowest one): 0.00 eV per formula unit
volume: 209.7 Å³ per cell


[5]
The following is a GGA-PBE calculation of AlTeOs2 after structural relaxation, from Alexandria.

Unit cell a=8.545 b=8.545 c=8.545 alpha=20.27 beta=20.27 gamma=20.27
Fractional positions:
Os1 0.004 0.004 0.004
Os2 0.496 0.496 0.496
Te1 0.250 0.250 0.250
Al1 0.750 0.750 0.750

ΔE_f (raw): 439 meV/atom
SG: R-3m
polymorph energy (0 for the lowest one): 0.68 eV per formula unit
volume: 65.5 Å³ per cell


[6]
The following is a GGA-PBE calculation of Sr3SnAu2 after structural relaxation, from Alexandria.

Unit cell a=3.863 b=3.863 c=12.007 alpha=90.00 beta=90.00 gamma=90.00
Fractional positions:
Au1 0.500 0.500 0.160
Au2 0.500 0.500 0.840
Sr1 0.000 0.000 0.681
Sr2 0.000 0.000 0.000
Sr3 0.000 0.000 0.319
Sn1 0.500 0.500 0.500

SG: P4/mmm
energy relative to the elements: -4.2 eV per formula unit
volume: 179.1 Å³ per cell